# Y3Be5 PBE optimized geometry
# **Raw total energy**: -4.694 eV per atom
# **V**: 17.3 Å³ per atom
# **Formation enthalpy at 0 K**: 0.0590 eV/atom
# **Energy above the most stable polymorph in this dataset**: 0.0 meV per atom
data_Y3Be5
_cell_length_a 5.268
_cell_length_b 7.042
_cell_length_c 7.941
_cell_angle_alpha 94.64
_cell_angle_beta 108.96
_cell_angle_gamma 91.75
_symmetry_space_group_name_H-M 'P -1'
_symmetry_Int_Tables_number 2
loop_
_symmetry_equiv_pos_as_xyz
'x,y,z'
'-x,-y,-z'
loop_
_atom_site_label
_atom_site_type_symbol
_atom_site_fract_x
_atom_site_fract_y
_atom_site_fract_z
Y1 Y 0.124 0.218 0.439
Y2 Y 0.200 0.404 0.853
Y3 Y 0.246 0.880 0.006
Be1 Be 0.281 0.829 0.362
Be2 Be 0.350 0.553 0.266
Be3 Be 0.368 0.610 0.546
Be4 Be 0.402 0.267 0.183
Be5 Be 0.438 0.939 0.637